Computed, not measured: a relaxed Ca2AcWO6 crystal at the PBE+U level of DFT.

Geometry as POSCAR:
```
Ca2AcWO6
1.0
-0.387 0.938 5.779
0.248 -4.513 3.776
5.050 -0.637 3.423
O Ca W Ac
6 2 1 1
Direct
0.981 0.559 0.233
0.671 0.145 0.786
0.406 0.678 0.782
0.574 0.211 0.242
0.220 0.970 0.239
0.144 0.404 0.772
0.025 0.028 0.931
0.525 0.535 0.404
0.317 0.321 0.039
0.799 0.811 0.587
```

Summary:
For the total DFT energy (no corrections), the calculation gives -7.286 eV per atom. The value obtained for the density is 6.37 g cm⁻³.